A plane-wave DFT calculation with PBE was carried out for a relaxed Cs4Rb2AlSb2 crystal.

Cell: 15.4717 13.6474 5.6224 Å, 90.00 100.02 90.00°
Space group C2/m (No. 12)
Symmetry-distinct sites (fractional):
Cs (0.1306, 0.1971, 0.1918) (multiplicity 8)
Rb (0.1397, 0.5000, 0.7336) (multiplicity 4)
Al (0.0000, 0.0000, 0.5000) (multiplicity 2)
Sb (0.1632, 0.0000, 0.6935) (multiplicity 4)

Output
Theoretical density, Mg/m³: 2.8
VASP energy, eV per atom: -2.08
Formation energy from raw total energies, eV/atom: -0.152
Calculated volume, A^3/atom: 64.9

A plane-wave DFT calculation with PBE was carried out for a relaxed Sb2Au2Br crystal.

Cell: 8.3269 8.3269 3.4943 Å, 90.00 90.00 90.00°
Space group P4/mbm (No. 127)
Symmetry-distinct sites (fractional):
Sb (0.1861, 0.3139, 0.0000) (multiplicity 4)
Au (0.1202, 0.6202, 0.5000) (multiplicity 4)
Br (0.0000, 0.0000, 0.0000) (multiplicity 2)

Output
Theoretical density, Mg/m³: 9.8
VASP energy, eV per atom: -3.25
Relative energy among the computed polymorphs, meV/atom: 38
Formation energy from raw total energies, eV/atom: 0.042
Calculated volume, A^3/atom: 24.2

A plane-wave DFT calculation with PBE was carried out for a relaxed CeNdTh2 crystal.

Cell: 3.4911 3.4911 37.0103 Å, 90.00 90.00 120.00°
Space group R-3m (No. 166, hexagonal axes)
Symmetry-distinct sites (fractional):
Ce (0.0000, 0.0000, 0.0000) (multiplicity 3)
Nd (0.0000, 0.0000, 0.5000) (multiplicity 3)
Th (0.0000, 0.0000, 0.4108) (multiplicity 6)

Output
Theoretical density, Mg/m³: 9.5
VASP energy, eV per atom: -6.16
Relative energy among the computed polymorphs, meV/atom: 179
Calculated volume, A^3/atom: 32.6
Formation enthalpy at 0 K, eV/atom: 0.228